An optimized crystal structure of YMn2BiO6. Source: Alexandria, functional GGA+U.

Cell lengths 5.5696, 5.5696, 13.9288 Å; angles 90.00, 90.00, 120.00 degrees
Space group R3 (No. 146, hexagonal axes)
Inequivalent atoms, fractional coordinates:
Y  0.0000  0.0000  0.0000 (multiplicity 3)
Mn  0.0000  0.0000  0.2801 (multiplicity 3)
Mn  0.0000  0.0000  0.7773 (multiplicity 3)
Bi  0.0000  0.0000  0.5011 (multiplicity 3)
O  0.0064  0.4255  0.5408 (multiplicity 9)
O  0.0280  0.6166  0.0389 (multiplicity 9)

## Properties
* total energy: -7.4608 eV per atom
* crystal system: trigonal